1.
First-principles (PBE) data for Ac3TcP after structural relaxation, as listed in the Alexandria database.

The structure in POSCAR format:
```
Ac3TcP
1.0
5.579 0.000 0.000
0.000 5.579 0.000
0.000 0.000 5.579
Ac Tc P
3 1 1
Cartesian
0.000 0.000 2.790
0.000 2.790 0.000
2.790 0.000 0.000
0.000 0.000 0.000
2.790 2.790 2.790
```

Results
Its formation energy is 0.021 eV per atom. As for the space group: Pm-3m. As for the total moment: 0.00 μB/cell. The density of states at the Fermi level comes out at 4.82 states/eV/cell.

=====

2.
First-principles (PBE) data for NdSm3In3 after structural relaxation, as listed in the Alexandria database.

The structure in POSCAR format:
```
NdSm3In3
1.0
9.523 0.000 0.000
0.000 9.523 0.000
0.000 0.000 9.523
Nd Sm In
4 12 12
Cartesian
0.706 4.055 5.467
4.055 5.467 0.706
5.467 0.706 4.055
8.816 8.816 8.816
0.731 5.492 8.791
1.678 1.678 1.678
1.673 7.849 3.088
3.088 1.673 7.849
3.083 7.844 6.440
4.030 4.030 4.030
5.492 8.791 0.731
6.440 3.083 7.844
6.434 6.434 6.434
7.849 3.088 1.673
7.844 6.440 3.083
8.791 0.731 5.492
0.005 2.403 8.358
1.164 4.766 2.358
2.358 1.164 4.766
2.403 8.358 0.005
3.597 4.756 7.120
4.756 7.120 3.597
4.766 2.358 1.164
5.926 9.517 7.164
7.120 3.597 4.756
7.164 5.926 9.517
8.358 0.005 2.403
9.517 7.164 5.926
```

Results
Its formation energy is -0.336 eV per atom. As for the space group: P2_13. As for the total moment: 0.00 μB/cell. The density of states at the Fermi level comes out at 33.26 states/eV/cell.

=====

3.
First-principles (PBE) data for NaAs2SeN after structural relaxation, as listed in the Alexandria database.

The structure in POSCAR format:
```
NaAs2SeN
1.0
5.115 0.000 0.000
0.000 5.115 0.000
0.000 0.000 5.104
Na As Se N
1 2 1 1
Cartesian
0.000 0.000 0.000
0.000 2.558 0.000
2.558 0.000 0.000
0.000 0.000 2.552
2.558 2.558 2.552
```

Results
As for the formation energy (no corrections): 9.6 eV per formula unit. As for the space group: P4/mmm. As for the total moment: 2.60 μB/cell. The density of states at the Fermi level comes out at 3.32 states/eV/cell.

=====

4.
First-principles (PBE) data for HoHf2ScP4 after structural relaxation, as listed in the Alexandria database.

The structure in POSCAR format:
```
HoHf2ScP4
1.0
6.523 0.000 0.000
0.000 3.766 0.000
-2.183 0.000 6.224
Ho Hf Sc P
1 2 1 4
Cartesian
0.000 0.000 0.000
-1.092 1.883 3.112
2.170 0.000 3.112
3.261 1.883 0.000
0.030 0.000 4.622
1.121 1.883 1.630
3.218 1.883 4.595
4.309 0.000 1.603
```

Results
Its formation energy is -1.417 eV per atom. As for the space group: P2/m. As for the total moment: 0.00 μB/cell. The density of states at the Fermi level comes out at 3.68 states/eV/cell.

=====

5.
First-principles (PBE) data for CoSi2Pb after structural relaxation, as listed in the Alexandria database.

The structure in POSCAR format:
```
CoSi2Pb
1.0
3.311 -1.916 0.000
3.311 1.916 0.000
-2.232 0.000 5.854
Co Si Pb
1 2 1
Cartesian
0.000 0.000 0.000
-0.022 0.000 5.217
4.413 0.000 0.636
2.196 0.000 2.927
```

Results
As for the formation energy (no corrections): 0.1 eV per formula unit. As for the space group: C2/m. As for the total moment: 0.00 μB/cell. The density of states at the Fermi level comes out at 2.17 states/eV/cell.

=====

6.
First-principles (PBE) data for CrAu2C2 after structural relaxation, as listed in the Alexandria database.

The structure in POSCAR format:
```
CrAu2C2
1.0
6.851 0.000 0.000
0.000 6.851 0.000
0.000 0.000 2.868
Cr Au C
2 4 4
Cartesian
0.000 0.000 0.000
3.426 3.426 0.000
0.953 2.473 0.000
2.473 5.899 0.000
4.378 0.953 0.000
5.899 4.378 0.000
1.339 4.765 1.434
2.086 1.339 1.434
4.765 5.512 1.434
5.512 2.086 1.434
```

Results
Its formation energy is 2.217 eV per atom. As for the space group: P4/mbm. As for the total moment: 0.47 μB/cell. The density of states at the Fermi level comes out at 12.50 states/eV/cell.

=====

7.
First-principles (PBE) data for EuNpRh2 after structural relaxation, as listed in the Alexandria database.

The structure in POSCAR format:
```
EuNpRh2
1.0
0.000 3.448 3.448
3.448 0.000 3.448
3.448 3.448 0.000
Eu Np Rh
1 1 2
Cartesian
0.000 0.000 0.000
3.448 3.448 3.448
1.724 1.724 1.724
5.171 5.171 5.171
```

Results
Its formation energy is -0.237 eV per atom. As for the space group: Fm-3m. As for the total moment: 3.48 μB/cell. The density of states at the Fermi level comes out at 13.94 states/eV/cell.

=====

8.
First-principles (PBE) data for Pm7Y12Mg after structural relaxation, as listed in the Alexandria database.

The structure in POSCAR format:
```
Pm7Y12Mg
1.0
5.999 3.464 5.419
-5.999 3.464 5.419
0.000 -6.927 5.419
Pm Y Mg
7 12 1
Cartesian
0.000 0.000 0.000
-1.894 -0.622 4.719
1.486 -1.329 4.719
0.408 1.952 4.719
-0.408 -1.952 11.538
-1.486 1.329 11.538
1.894 0.622 11.538
-0.668 -4.035 4.074
-3.161 2.596 4.074
-0.714 -3.097 7.272
-3.039 -0.930 8.984
-2.325 2.167 7.272
-3.828 -1.439 12.182
3.828 1.439 4.074
2.325 -2.167 8.984
3.039 0.930 7.272
0.714 3.097 8.984
3.161 -2.596 12.182
0.668 4.035 12.182
0.000 0.000 8.128
```

Results
Its formation energy is 0.204 eV per atom. As for the space group: R-3. As for the total moment: 0.00 μB/cell. The density of states at the Fermi level comes out at 33.13 states/eV/cell.

=====

9.
First-principles (PBE) data for DyAl3Cl12 after structural relaxation, as listed in the Alexandria database.

The structure in POSCAR format:
```
DyAl3Cl12
1.0
10.981 0.000 0.000
-5.491 9.510 0.000
0.000 0.000 16.312
Dy Al Cl
3 9 36
Cartesian
0.000 3.419 2.719
-2.530 7.801 13.593
2.530 7.801 8.156
-0.911 5.814 0.000
2.697 1.096 3.767
2.298 1.788 12.545
0.911 5.814 5.437
0.000 7.392 10.875
8.284 1.096 1.671
5.091 6.626 14.642
8.683 1.788 9.204
5.890 6.626 7.108
-0.819 1.816 0.679
-4.328 7.893 15.633
-1.923 5.176 14.504
-1.969 5.256 1.808
-0.445 2.704 8.809
-3.371 7.772 7.503
-0.977 4.838 5.097
-1.789 6.245 11.215
0.819 1.816 4.758
-3.508 9.312 11.554
0.445 2.704 12.941
-2.926 8.543 3.371
3.146 0.923 14.414
2.372 2.263 1.898
0.977 4.838 0.340
-0.812 7.937 15.972
1.923 5.176 7.245
-0.046 8.587 9.067
1.969 5.256 3.629
0.046 8.587 12.683
1.789 6.245 10.534
0.812 7.937 5.778
4.385 1.776 4.819
3.731 2.910 11.493
6.596 1.776 0.618
4.836 4.824 15.694
3.371 7.772 14.246
2.926 8.543 2.066
7.835 0.923 7.336
4.717 6.324 8.976
4.328 7.893 6.116
3.508 9.312 10.196
7.250 2.910 10.257
6.145 4.824 6.055
8.609 2.263 3.539
6.264 6.324 12.773
```

Results
As for the formation energy (no corrections): -27.5 eV per formula unit. As for the space group: P3_112. As for the total moment: 0.14 μB/cell. The density of states at the Fermi level comes out at 0.00 states/eV/cell.

=====

10.
First-principles (PBE) data for Ce3CrAg3Se8 after structural relaxation, as listed in the Alexandria database.

The structure in POSCAR format:
```
Ce3CrAg3Se8
1.0
4.191 2.419 6.417
-4.191 2.419 6.417
0.000 -4.839 6.417
Ce Cr Ag Se
3 1 3 8
Cartesian
-2.095 -1.210 6.417
-2.095 1.210 12.835
0.000 2.419 6.417
0.000 0.000 0.000
-4.191 0.000 9.626
-2.095 1.210 3.209
2.095 1.210 3.209
-2.315 -1.337 11.355
0.000 -2.673 7.897
-2.315 1.337 7.897
0.000 0.000 4.806
0.000 0.000 14.446
2.315 -1.337 11.355
0.000 2.673 11.355
2.315 1.337 7.897
```

Results
As for the formation energy (no corrections): -14.8 eV per formula unit. As for the space group: R-3m. As for the total moment: 1.01 μB/cell. The density of states at the Fermi level comes out at 13.92 states/eV/cell.

=====

11.
First-principles (PBE) data for CeYPuSn after structural relaxation, as listed in the Alexandria database.

The structure in POSCAR format:
```
CeYPuSn
1.0
0.000 3.767 3.767
3.767 0.000 3.767
3.767 3.767 0.000
Ce Y Pu Sn
1 1 1 1
Cartesian
0.000 0.000 0.000
1.884 1.884 1.884
5.651 5.651 5.651
3.767 3.767 3.767
```

Results
Its formation energy is -0.187 eV per atom. As for the space group: F-43m. As for the total moment: 8.10 μB/cell. The density of states at the Fermi level comes out at 8.09 states/eV/cell.

=====

12.
First-principles (PBE) data for KTlZn2 after structural relaxation, as listed in the Alexandria database.

The structure in POSCAR format:
```
KTlZn2
1.0
-1.888 2.879 5.111
1.888 -2.879 5.111
1.888 2.879 -5.111
K Tl Zn
1 1 2
Cartesian
0.000 0.000 0.000
1.888 0.000 3.065
0.000 0.000 5.487
0.000 2.879 2.149
```

Results
Its formation energy is 0.128 eV per atom. As for the space group: Imm2. As for the total moment: 0.00 μB/cell. The density of states at the Fermi level comes out at 2.02 states/eV/cell.

=====

Question: Look up the total moment of the first one.
Answer: 0.00 μB/cell